PaCo2NiH6, relaxed, DFT PBE-GGA; total energy = -5.1694 eV/atom
1.0
-3.816 -0.903 1.909
-1.912 -3.863 -0.668
0.295 -3.302 4.010
H Co Pa Ni
6 2 1 1
direct
0.558 0.097 0.786 H
0.441 0.442 0.214 H
0.903 0.441 0.214 H
0.559 0.558 0.786 H
0.097 0.559 0.786 H
0.442 0.903 0.214 H
0.795 0.795 0.615 Co
0.205 0.205 0.385 Co
0.000 0.000 0.000 Pa
0.500 0.500 0.500 Ni